No. 1
A plane-wave DFT calculation with SCAN was carried out for BaReP2 at its PBEsol-relaxed geometry.

POSCAR file:
```
BaReP2
1.0
4.4277 0.0000 0.0000
0.0000 1.9205 5.8243
0.0000 -1.9205 5.8243
Ba Re P
1 1 2
direct
0.0000 0.0000 0.0000
0.5000 0.7566 0.7566
0.0000 0.7190 0.7190
0.5000 0.3644 0.3644
```

* total energy: -33.24 eV per atom
* crystal system: orthorhombic
* spin magnetization: 0.000 μB per cell
* energy of formation: -0.380 eV/atom
* calculated density: 6.5 g/cm³
* space-group type: Amm2, No. 38

***

No. 2
A plane-wave DFT calculation with SCAN was carried out for BaNiAg2 at its PBEsol-relaxed geometry.

POSCAR file:
```
BaNiAg2
1.0
3.8560 0.0000 0.0000
0.0000 4.0180 0.0000
-1.7468 0.0000 5.9624
Ba Ni Ag
1 1 2
direct
0.0000 0.0000 0.0000
0.5968 0.5000 0.2126
0.2335 0.5000 0.5165
0.7103 0.0000 0.4706
```

* total energy: -29.41 eV per atom
* energy above the most stable polymorph in this dataset: 0.94 kcal/mol of atoms
* crystal system: monoclinic
* spin magnetization: 0.000 μB per cell
* energy of formation: 0.209 eV/atom
* calculated density: 7.4 g/cm³
* space-group type: Pm, No. 6

***

No. 3
A plane-wave DFT calculation with SCAN was carried out for WC2 at its PBEsol-relaxed geometry.

POSCAR file:
```
WC2
1.0
1.6249 0.9381 4.4683
-1.6249 0.9381 4.4683
0.0000 -1.8763 4.4683
W C
1 2
direct
0.0000 0.0000 0.0000
0.2692 0.2692 0.2692
0.3963 0.3963 0.3963
```

* total energy: -28.60 eV per atom
* energy above the most stable polymorph in this dataset: 16.18 kcal/mol of atoms
* crystal system: trigonal
* spin magnetization: 0.000 μB per cell
* energy of formation: 1.365 eV/atom
* calculated density: 8.4 g/cm³
* space-group type: R3m, No. 160

***

No. 4
A plane-wave DFT calculation with SCAN was carried out for MnP3W at its PBEsol-relaxed geometry.

POSCAR file:
```
MnP3W
1.0
4.2892 0.0000 0.0000
0.0000 4.2892 0.0000
0.0000 0.0000 4.2892
Mn P W
1 3 1
direct
0.0000 0.0000 0.0000
0.0000 0.0000 0.5000
0.0000 0.5000 0.0000
0.5000 0.0000 0.0000
0.5000 0.5000 0.5000
```

* total energy: -22.71 eV per atom
* crystal system: cubic
* spin magnetization: 4.750 μB per cell
* energy of formation: 1.116 eV/atom
* calculated density: 7.0 g/cm³
* space-group type: Pm-3m, No. 221

***

No. 5
A plane-wave DFT calculation with SCAN was carried out for Ba2Sc2Sn at its PBEsol-relaxed geometry.

POSCAR file:
```
Ba2Sc2Sn
1.0
-2.2086 2.2086 8.3413
2.2086 -2.2086 8.3413
2.2086 2.2086 -8.3413
Ba Sc Sn
2 2 1
direct
0.2500 0.7500 0.5000
0.7500 0.2500 0.5000
0.0756 0.0756 0.0000
0.9244 0.9244 0.0000
0.5000 0.5000 0.0000
```

* total energy: -28.13 eV per atom
* crystal system: tetragonal
* spin magnetization: 0.003 μB per cell
* energy of formation: 0.570 eV/atom
* calculated density: 4.9 g/cm³
* space-group type: I4/mmm, No. 139

***

No. 6
A plane-wave DFT calculation with SCAN was carried out for Cu2Si2Pb7S4O26 at its PBEsol-relaxed geometry.

POSCAR file:
```
Cu2Si2Pb7S4O26
1.0
10.2728 -2.8035 0.0000
10.2728 2.8035 0.0000
-0.1220 0.0000 9.4035
Cu Si Pb S O
2 2 7 4 26
direct
0.0000 0.5000 0.0000
0.5000 0.0000 0.0000
0.1059 0.1059 0.0067
0.8941 0.8941 0.9933
0.0264 0.0264 0.2927
0.1564 0.1564 0.6664
0.3533 0.3533 0.7425
0.5000 0.5000 0.0000
0.6467 0.6467 0.2575
0.8436 0.8436 0.3336
0.9736 0.9736 0.7073
0.2333 0.2333 0.3450
0.4332 0.4332 0.3525
0.5668 0.5668 0.6475
0.7667 0.7667 0.6550
0.0282 0.4616 0.2547
0.0692 0.0692 0.8521
0.1425 0.6864 0.8943
0.1630 0.1630 0.3851
0.1870 0.1870 0.9732
0.2104 0.6495 0.4429
0.2760 0.2760 0.4703
0.3049 0.3049 0.9731
0.3136 0.8575 0.1057
0.3505 0.7896 0.5571
0.3805 0.3805 0.2460
0.4616 0.0282 0.2547
0.4985 0.4985 0.2799
0.5015 0.5015 0.7201
0.5384 0.9718 0.7453
0.6195 0.6195 0.7540
0.6495 0.2104 0.4429
0.6864 0.1425 0.8943
0.6951 0.6951 0.0269
0.7240 0.7240 0.5297
0.7896 0.3505 0.5571
0.8130 0.8130 0.0268
0.8370 0.8370 0.6149
0.8575 0.3136 0.1057
0.9308 0.9308 0.1479
0.9718 0.5384 0.7453
```

* formation energy from raw total energies: -1637.6 meV per atom
* total energy: -20.70 eV per atom
* crystal system: monoclinic
* spin magnetization: 0.000 μB per cell
* calculated density: 6.7 g/cm³
* space-group type: C2/m, No. 12

***

No. 7
A plane-wave DFT calculation with SCAN was carried out for ZnReSe at its PBEsol-relaxed geometry.

POSCAR file:
```
ZnReSe
1.0
0.0000 2.9300 2.9300
2.9300 0.0000 2.9300
2.9300 2.9300 0.0000
Zn Re Se
1 1 1
direct
0.0000 0.0000 0.0000
0.5000 0.5000 0.5000
0.2500 0.2500 0.2500
```

* formation energy from raw total energies: 994.9 meV per atom
* total energy: -33.90 eV per atom
* crystal system: cubic
* spin magnetization: 0.936 μB per cell
* calculated density: 10.9 g/cm³
* space-group type: F-43m, No. 216

***

No. 8
A plane-wave DFT calculation with SCAN was carried out for MnCdSb2 at its PBEsol-relaxed geometry.

POSCAR file:
```
MnCdSb2
1.0
2.0716 -2.2556 0.0000
2.0716 2.2556 0.0000
0.0000 0.0000 9.3436
Mn Cd Sb
1 1 2
direct
0.0000 0.0000 0.0000
0.5000 0.5000 0.7996
0.0000 0.0000 0.5365
0.5000 0.5000 0.1962
```

* formation energy from raw total energies: 96.5 meV per atom
* total energy: -30.70 eV per atom
* crystal system: orthorhombic
* spin magnetization: 3.500 μB per cell
* calculated density: 7.8 g/cm³
* space-group type: Cmm2, No. 35

***

What did the fifth record say?
A plane-wave DFT calculation with SCAN was carried out for Ba2Sc2Sn at its PBEsol-relaxed geometry.

POSCAR file:
```
Ba2Sc2Sn
1.0
-2.2086 2.2086 8.3413
2.2086 -2.2086 8.3413
2.2086 2.2086 -8.3413
Ba Sc Sn
2 2 1
direct
0.2500 0.7500 0.5000
0.7500 0.2500 0.5000
0.0756 0.0756 0.0000
0.9244 0.9244 0.0000
0.5000 0.5000 0.0000
```

* total energy: -28.13 eV per atom
* crystal system: tetragonal
* spin magnetization: 0.003 μB per cell
* energy of formation: 0.570 eV/atom
* calculated density: 4.9 g/cm³
* space-group type: I4/mmm, No. 139